# 1
Material: Ba2HgRuC
Method: DFT, PBE
State: optimized geometry

Its calculated total energy is -4.490 eV/atom. The energy above the lowest structure with this stoichiometry is 0 meV/atom.

Unit cell a=5.938 b=5.938 c=3.938 alpha=90.00 beta=90.00 gamma=90.00
Space group P4/mmm (No. 123)
Unique sites:
1 Ba 0.000 0.500 0.000 [2 per cell]
2 Hg 0.000 0.000 0.500 [1 per cell]
3 Ru 0.500 0.500 0.500 [1 per cell]
4 C 0.500 0.500 0.000 [1 per cell]

***

# 2
Material: La2BeCuW
Method: DFT, PBE
State: optimized geometry

Its calculated total energy is -5.372 eV/atom.

Unit cell a=5.394 b=5.394 c=4.289 alpha=90.00 beta=90.00 gamma=90.00
Space group P4/mmm (No. 123)
Unique sites:
1 La 0.000 0.500 0.000 [2 per cell]
2 Be 0.000 0.000 0.000 [1 per cell]
3 Cu 0.500 0.500 0.500 [1 per cell]
4 W 0.000 0.000 0.500 [1 per cell]

***

# 3
Material: NaCrCuSe3
Method: DFT, PBE
State: optimized geometry

Its calculated total energy is -4.834 eV/atom. The calculation puts the energy relative to the elements, uncorrected at -0.59 eV/atom.

Unit cell a=7.885 b=3.700 c=9.108 alpha=90.00 beta=109.44 gamma=90.00
Space group P2_1/m (No. 11)
Unique sites:
1 Na 0.222 0.250 0.259 [2 per cell]
2 Cr 0.317 0.750 0.841 [2 per cell]
3 Cu 0.079 0.250 0.602 [2 per cell]
4 Se 0.110 0.250 0.870 [2 per cell]
5 Se 0.252 0.750 0.548 [2 per cell]
6 Se 0.453 0.750 0.138 [2 per cell]

***

# 4
Material: Sm5Ho4
Method: DFT, PBE
State: optimized geometry

Its calculated total energy is -4.639 eV/atom.

Unit cell a=11.875 b=10.747 c=5.053 alpha=90.00 beta=115.10 gamma=90.00
Space group C2/m (No. 12)
Unique sites:
1 Sm 0.000 0.000 0.000 [2 per cell]
2 Sm 0.000 0.332 0.000 [4 per cell]
3 Sm 0.168 0.500 0.668 [4 per cell]
4 Ho 0.167 0.167 0.667 [8 per cell]

***

# 5
Material: RbCrCuSe2
Method: DFT, PBE
State: optimized geometry

Its calculated total energy is -4.842 eV/atom. The calculation puts the energy relative to the elements, uncorrected at -0.51 eV/atom. The energy above the lowest structure with this stoichiometry is 0 meV/atom.

Unit cell a=6.318 b=14.670 c=5.668 alpha=90.00 beta=90.00 gamma=90.00
Space group Cmme (No. 67)
Unique sites:
1 Rb 0.000 0.250 0.228 [4 per cell]
2 Cr 0.250 0.000 0.500 [4 per cell]
3 Cu 0.000 0.000 0.000 [4 per cell]
4 Se 0.000 0.109 0.711 [8 per cell]

***

# 6
Material: KCuSe2
Method: DFT, PBE
State: optimized geometry

Its calculated total energy is -3.284 eV/atom. The calculation puts the energy relative to the elements, uncorrected at -0.24 eV/atom.

Unit cell a=3.413 b=3.413 c=8.569 alpha=90.00 beta=90.00 gamma=90.00
Space group P4mm (No. 99)
Unique sites:
1 K 0.000 0.000 0.000 [1 per cell]
2 Cu 0.500 0.500 0.535 [1 per cell]
3 Se 0.000 0.000 0.628 [1 per cell]
4 Se 0.500 0.500 0.250 [1 per cell]

***

# 7
Material: Y2Sn4Hg
Method: DFT, PBE
State: optimized geometry

Its calculated total energy is -4.600 eV/atom.

Unit cell a=9.137 b=9.158 c=9.226 alpha=90.00 beta=90.00 gamma=90.00
Space group Fmmm (No. 69)
Unique sites:
1 Y 0.250 0.250 0.000 [8 per cell]
2 Sn 0.000 0.250 0.250 [8 per cell]
3 Sn 0.250 0.000 0.250 [8 per cell]
4 Hg 0.000 0.000 0.000 [4 per cell]

***

# 8
Material: Cs3Pu2Se4
Method: DFT, PBE
State: optimized geometry

Its calculated total energy is -6.240 eV/atom. The calculation puts the energy relative to the elements, uncorrected at -1.22 eV/atom.

Unit cell a=16.248 b=12.152 c=7.886 alpha=90.00 beta=92.70 gamma=90.00
Space group C2/c (No. 15)
Unique sites:
1 Cs 0.000 0.096 0.250 [4 per cell]
2 Cs 0.112 0.365 0.533 [8 per cell]
3 Pu 0.211 0.126 0.932 [8 per cell]
4 Se 0.118 0.318 0.025 [8 per cell]
5 Se 0.171 0.075 0.590 [8 per cell]